TmTaZn4: relaxed, PBE.

Computed properties:
As for the formation energy: -0.091 eV per atom.

Unit cell a=7.387 b=7.387 c=7.387 alpha=90.00 beta=90.00 gamma=90.00
Space group F-43m (No. 216)
Unique sites:
1 Tm 0.000 0.000 0.000 [4 per cell]
2 Ta 0.250 0.250 0.250 [4 per cell]
3 Zn 0.124 0.124 0.624 [16 per cell]



TmZrTa4: relaxed, PBE.

Computed properties:
As for the formation energy: 0.170 eV per atom.

Unit cell a=7.960 b=7.960 c=7.960 alpha=90.00 beta=90.00 gamma=90.00
Space group F-43m (No. 216)
Unique sites:
1 Tm 0.000 0.000 0.000 [4 per cell]
2 Zr 0.250 0.250 0.750 [4 per cell]
3 Ta 0.125 0.125 0.375 [16 per cell]



U4Ta: relaxed, PBE.

Computed properties:
As for the formation energy: 1.550 eV per atom.

Unit cell a=5.253 b=5.253 c=5.253 alpha=90.00 beta=90.00 gamma=90.00
Space group Pm-3m (No. 221)
Unique sites:
1 U 0.000 0.000 0.000 [1 per cell]
2 U 0.000 0.500 0.500 [3 per cell]
3 Ta 0.500 0.500 0.500 [1 per cell]